{
  "formula": "NiW2",
  "functional": "PBE",
  "state": "optimized geometry",
  "dft_energy_ev_per_cell": -62.342,
  "spacegroup": "Cmcm",
  "e_above_lowest_polymorph_mev_per_atom": 89.1,
  "e_form_kj_per_mol_atoms": 17,
  "cell": [[-1.580, 4.531, -3.730], [-2.351, -3.857, 4.067], [0.669, 2.514, 2.771]],
  "species": ["W", "Ni", "Ni", "W", "W", "W"],
  "frac_coords": [[0.255, 0.745, 0.750], [0.077, 0.923, 0.250], [0.923, 0.077, 0.750], [0.745, 0.255, 0.250], [0.579, 0.421, 0.750], [0.421, 0.579, 0.250]]
}

{
  "formula": "NiW3",
  "functional": "PBE",
  "state": "optimized geometry",
  "dft_energy_ev_per_cell": -43.910,
  "spacegroup": "P2/m",
  "e_form_kj_per_mol_atoms": 18,
  "cell": [[2.675, 0.000, -0.012], [0.000, 4.440, 0.000], [0.778, 0.000, 5.086]],
  "species": ["W", "W", "Ni", "W"],
  "frac_coords": [[0.751, 0.500, 0.754], [0.249, 0.500, 0.246], [0.000, 0.000, 0.000], [0.500, 0.000, 0.500]]
}

{
  "formula": "Ni2W",
  "functional": "PBE",
  "state": "optimized geometry",
  "dft_energy_ev_per_cell": -22.402,
  "spacegroup": "Fm-3m",
  "e_form_kj_per_mol_atoms": 68,
  "cell": [[-0.957, 0.107, -3.891], [-2.300, -2.878, -1.578], [-3.760, 0.826, -1.117]],
  "species": ["Ni", "W", "Ni"],
  "frac_coords": [[0.250, 0.250, 0.250], [0.000, 0.000, 0.000], [0.750, 0.750, 0.750]]
}

{
  "formula": "NiW3",
  "functional": "PBE",
  "state": "optimized geometry",
  "dft_energy_ev_per_cell": -43.572,
  "spacegroup": "Pmmm",
  "e_form_kj_per_mol_atoms": 26,
  "cell": [[2.650, 0.000, 0.000], [0.000, 4.076, 0.000], [0.000, 0.000, 5.615]],
  "species": ["Ni", "W", "W", "W"],
  "frac_coords": [[0.000, 0.000, 0.000], [0.500, 0.500, 0.762], [0.000, 0.000, 0.500], [0.500, 0.500, 0.238]]
}